*P*
The following is a DFT calculation (meta-GGA SCAN) of a crystal of MgCdSb2 relaxed with PBEsol.

The structure in extended XYZ format:
```
4
Lattice="-0.7396 -3.9060 -0.2916 4.2976 -0.7809 -0.4402 -1.2942 1.8303 6.0097" Properties=species:S:1:pos:R:3 pbc="T T T"
Sb 0.0346 -0.0366 0.4023
Sb -0.1328 -2.2038 2.6128
Mg 2.3998 -0.6561 2.7023
Cd 0.4471 -0.4732 5.2044
```

---

*Q*
The following is a DFT calculation (meta-GGA SCAN) of a crystal of MgCdSb2 relaxed with PBEsol.

The structure in extended XYZ format:
```
4
Lattice="4.2917 0.0000 0.0000 0.0000 5.1248 0.0000 -2.1459 -2.5624 4.4193" Properties=species:S:1:pos:R:3 pbc="T T T"
Sb 2.1459 2.5624 2.2067
Sb 0.0000 0.0000 2.2126
Mg 0.0000 2.5624 0.0000
Cd 2.1459 0.0000 0.0000
```

---

*R*
The following is a DFT calculation (meta-GGA SCAN) of a crystal of MgCdSb2 relaxed with PBEsol.

The structure in extended XYZ format:
```
4
Lattice="-3.7833 -0.9144 1.4785 1.5415 -3.4017 1.8408 1.1368 3.1401 4.8508" Properties=species:S:1:pos:R:3 pbc="T T T"
Sb 1.0140 2.8010 4.3270
Sb -0.7153 -1.0374 3.3907
Mg -0.1488 0.5273 5.8079
Cd 0.4501 1.2433 1.9206
```

---

*S*
The following is a DFT calculation (meta-GGA SCAN) of a crystal of MgCdSb2 relaxed with PBEsol.

The structure in extended XYZ format:
```
4
Lattice="5.1479 0.0000 0.0000 2.5739 4.4582 0.0000 2.5739 1.4861 4.2032" Properties=species:S:1:pos:R:3 pbc="T T T"
Cd 0.0000 0.0000 0.0000
Mg 5.1479 2.9721 2.1016
Sb 2.5739 1.4861 1.0508
Sb 7.7218 4.4582 3.1524
```

---

Which structure is the most stable? The one labeled *R*.

---

*P*
The following is a DFT calculation (meta-GGA SCAN) of a crystal of MgCdSb2 relaxed with PBEsol.

The structure in extended XYZ format:
```
4
Lattice="-0.9002 -1.6799 -3.8534 -2.6446 -2.8600 1.8647 -3.9959 3.3510 -0.5274" Properties=species:S:1:pos:R:3 pbc="T T T"
Sb 0.0000 0.0000 0.0000
Sb -2.4480 0.8355 -2.1904
Mg -3.3202 0.2455 0.6686
Cd -1.7724 -2.2700 -0.9943
```

---

*Q*
The following is a DFT calculation (meta-GGA SCAN) of a crystal of MgCdSb2 relaxed with PBEsol.

The structure in extended XYZ format:
```
4
Lattice="-2.4239 1.9246 -0.4682 -0.4072 -1.4038 -3.6626 -3.7526 -6.6824 2.9784" Properties=species:S:1:pos:R:3 pbc="T T T"
Sb -4.1636 -3.7833 1.9129
Sb -2.0130 -0.9744 0.5973
Mg -2.0799 -4.0431 -0.3421
Cd -1.4156 0.2604 -2.0654
```

---

Which structure is the most stable? The one labeled *Q*.

---

*P*
The following is a DFT calculation (meta-GGA SCAN) of a crystal of MgCdSb2 relaxed with PBEsol.

The structure in extended XYZ format:
```
4
Lattice="-2.6165 -1.2622 1.5425 0.2165 -0.8655 3.1658 -3.7932 8.9846 4.4244" Properties=species:S:1:pos:R:3 pbc="T T T"
Cd -3.0966 3.4285 4.5663
Mg 0.0000 0.0000 0.0000
Sb -1.4762 1.4807 2.2144
Sb -4.7170 5.3763 6.9183
```

---

*Q*
The following is a DFT calculation (meta-GGA SCAN) of a crystal of MgCdSb2 relaxed with PBEsol.

The structure in extended XYZ format:
```
4
Lattice="3.3676 0.0069 0.0090 -0.6464 5.4447 0.0618 -0.6464 -1.3271 5.2809" Properties=species:S:1:pos:R:3 pbc="T T T"
Sb -0.3232 -0.6636 2.6404
Sb -0.3232 2.7224 0.0309
Mg 1.6838 0.0035 0.0045
Cd 1.0374 2.0622 2.6758
```

---

*R*
The following is a DFT calculation (meta-GGA SCAN) of a crystal of MgCdSb2 relaxed with PBEsol.

The structure in extended XYZ format:
```
4
Lattice="3.2221 0.0000 0.0000 0.0000 5.1899 0.0000 0.0000 0.0000 5.9159" Properties=species:S:1:pos:R:3 pbc="T T T"
Sb 2.8219 2.5950 0.0000
Sb 1.2068 0.0000 2.9580
Mg 2.8139 2.5950 2.9580
Cd 1.2127 0.0000 0.0000
```

---

*S*
The following is a DFT calculation (meta-GGA SCAN) of a crystal of MgCdSb2 relaxed with PBEsol.

The structure in extended XYZ format:
```
4
Lattice="3.3511 0.1617 0.0000 -0.3615 3.3355 0.0000 0.0000 0.0000 8.6045" Properties=species:S:1:pos:R:3 pbc="T T T"
Sb 0.0000 0.0000 2.0450
Sb 0.0000 0.0000 6.5596
Mg 1.4948 1.7486 0.0000
Cd 1.4948 1.7486 4.3023
```

---

Which structure is the most stable? The one labeled *R*.

---

*P*
The following is a DFT calculation (meta-GGA SCAN) of a crystal of Mg2CdSb relaxed with PBEsol.

The structure in extended XYZ format:
```
4
Lattice="-2.4806 -2.0938 -0.4345 1.1627 -0.7622 -2.9654 4.5565 -6.0941 3.3529" Properties=species:S:1:pos:R:3 pbc="T T T"
Sb -0.6589 -1.4280 -1.6999
Mg 3.3538 -4.4855 2.4679
Mg 1.2027 -1.6086 0.8850
Cd 1.6193 -4.4750 -0.0235
```

---

*Q*
The following is a DFT calculation (meta-GGA SCAN) of a crystal of Mg2CdSb relaxed with PBEsol.

The structure in extended XYZ format:
```
4
Lattice="-2.5066 1.7024 1.4063 -2.6733 -2.7159 -1.4772 0.6208 -3.5509 5.4049" Properties=species:S:1:pos:R:3 pbc="T T T"
Sb -2.5900 -0.5068 -0.0354
Mg 0.4622 -2.6438 4.0241
Mg 0.1586 -0.9071 1.3808
Cd -2.2795 -2.2822 2.6670
```

---

Which structure is the most stable? The one labeled *Q*.

---

*P*
The following is a DFT calculation (meta-GGA SCAN) of a crystal of MgSc2Cd relaxed with PBEsol.

The structure in extended XYZ format:
```
4
Lattice="3.2093 0.0000 -0.0201 0.0000 4.7789 0.0000 -1.1293 0.0000 5.7922" Properties=species:S:1:pos:R:3 pbc="T T T"
Sc -0.9905 0.0000 5.6385
Sc 1.9805 2.3895 1.6073
Mg 0.4903 2.3895 4.3995
Cd 0.5103 0.0000 2.8050
```

---

*Q*
The following is a DFT calculation (meta-GGA SCAN) of a crystal of MgSc2Cd relaxed with PBEsol.

The structure in extended XYZ format:
```
4
Lattice="4.9675 0.0000 0.0000 2.4837 4.3020 0.0000 2.4837 1.4340 4.0559" Properties=species:S:1:pos:R:3 pbc="T T T"
Sc 7.4512 4.3020 3.0419
Sc 2.4837 1.4340 1.0140
Mg 4.9675 2.8680 2.0280
Cd 0.0000 0.0000 0.0000
```

---

*R*
The following is a DFT calculation (meta-GGA SCAN) of a crystal of MgSc2Cd relaxed with PBEsol.

The structure in extended XYZ format:
```
4
Lattice="-3.0986 0.5352 -1.6221 -1.6795 -0.3422 3.0954 0.6191 6.9224 1.1011" Properties=species:S:1:pos:R:3 pbc="T T T"
Sc 0.0014 0.0161 0.0026
Sc -2.2292 1.8843 1.0210
Mg -1.9323 5.2036 1.5490
Cd 0.3106 3.4726 0.5524
```

---

Which structure is the most stable? The one labeled *Q*.

---

*P*
The following is a DFT calculation (meta-GGA SCAN) of a crystal of MgSc2Cd relaxed with PBEsol.

The structure in extended XYZ format:
```
4
Lattice="3.4100 0.0000 0.0000 0.0000 5.0494 -0.0685 -1.7050 -2.4392 5.1625" Properties=species:S:1:pos:R:3 pbc="T T T"
Sc 1.7050 2.6066 5.0572
Sc 1.7050 0.0481 2.7034
Mg 0.0000 2.5693 2.3373
Cd 1.7050 2.5210 0.0556
```

---

*Q*
The following is a DFT calculation (meta-GGA SCAN) of a crystal of MgSc2Cd relaxed with PBEsol.

The structure in extended XYZ format:
```
4
Lattice="-3.4345 0.1457 -1.2831 0.3978 -4.5769 -1.5846 -1.6634 -1.6224 4.2683" Properties=species:S:1:pos:R:3 pbc="T T T"
Sc -0.8317 -0.8112 2.1342
Sc 0.1989 -2.2885 -0.7923
Mg -1.7173 0.0729 -0.6415
Cd -2.3501 -3.0268 0.7003
```

---

Which structure is the most stable? The one labeled *Q*.

---

*P*
The following is a DFT calculation (meta-GGA SCAN) of a crystal of MgCd2Si relaxed with PBEsol.

The structure in extended XYZ format:
```
4
Lattice="3.0530 0.0000 0.0000 0.0000 3.0530 0.0000 0.0000 0.0000 8.3495" Properties=species:S:1:pos:R:3 pbc="T T T"
Cd 0.0000 0.0000 8.2422
Cd 1.5265 1.5265 2.1273
Mg 0.0000 0.0000 4.3104
Si 1.5265 1.5265 6.1938
```

---

*Q*
The following is a DFT calculation (meta-GGA SCAN) of a crystal of MgCd2Si relaxed with PBEsol.

The structure in extended XYZ format:
```
4
Lattice="4.2097 0.0000 0.0000 0.0000 4.2097 0.0000 -2.1049 -2.1049 4.3838" Properties=species:S:1:pos:R:3 pbc="T T T"
Cd 2.1049 0.0000 2.1919
Cd 0.0000 2.1049 2.1919
Mg 2.1049 2.1049 0.0000
Si 0.0000 0.0000 0.0000
```

---

Which structure is the most stable? The one labeled *Q*.

---

*P*
The following is a DFT calculation (meta-GGA SCAN) of a crystal of Sr2MgCd relaxed with PBEsol.

The structure in extended XYZ format:
```
4
Lattice="3.9203 0.0000 0.0000 0.0000 3.9203 0.0000 0.0000 0.0000 8.9897" Properties=species:S:1:pos:R:3 pbc="T T T"
Sr 0.0000 0.0000 8.5157
Sr 1.9601 1.9601 2.8009
Mg 1.9601 1.9601 6.2688
Cd 0.0000 0.0000 4.8888
```

---

*Q*
The following is a DFT calculation (meta-GGA SCAN) of a crystal of Sr2MgCd relaxed with PBEsol.

The structure in extended XYZ format:
```
4
Lattice="4.0677 0.0000 0.0000 0.0000 5.7111 0.0000 0.0000 0.0000 5.7120" Properties=species:S:1:pos:R:3 pbc="T T T"
Sr 0.0000 5.0007 0.0000
Sr 0.0000 2.1389 2.8560
Mg 2.0338 4.9899 2.8560
Cd 2.0338 2.1483 0.0000
```

---

*R*
The following is a DFT calculation (meta-GGA SCAN) of a crystal of Sr2MgCd relaxed with PBEsol.

The structure in extended XYZ format:
```
4
Lattice="3.9377 0.0000 0.0000 0.0000 5.7914 -0.2632 -1.9689 -2.5368 5.9781" Properties=species:S:1:pos:R:3 pbc="T T T"
Sr 1.9689 3.2262 5.5331
Sr 1.9689 0.2253 3.2989
Mg 0.0000 3.0738 2.3149
Cd 1.9689 2.8795 0.1513
```

---

Which structure is the most stable? The one labeled *Q*.